(1)
# Ti2SiAu2

A geometry-optimized Ti2SiAu2 structure (PBE-GGA, the Alexandria database).

Calculated values
ρ ... 9.6 g cm⁻³
N(E_F) ... 5.4 states/eV/f.u.
Raw formation energy ... -0.15 eV per atom
E above lowest polymorph ... 3.0 kJ per mole of atoms
Symmetry ... P4/mbm (127)

Cell: 6.7270 6.7270 3.9655 Å, 90.00 90.00 90.00°
Closest atoms and distances in Å follow each position.
Sites, in units of the cell vectors:
Ti (0.3447, 0.8447, 0.0000)  2 Si 2.54, 6 Au 2.74-2.84
Ti (0.6553, 0.1553, 0.0000)  2 Si 2.54, 6 Au 2.74-2.84
Ti (0.1553, 0.3447, 0.0000)  2 Si 2.54, 6 Au 2.74-2.84
Ti (0.8447, 0.6553, 0.0000)  2 Si 2.54, 6 Au 2.74-2.84
Au (0.8536, 0.3536, 0.5000)  6 Ti 2.74-2.84, 1 Au 2.79
Au (0.3536, 0.1464, 0.5000)  6 Ti 2.74-2.84, 1 Au 2.79
Au (0.6464, 0.8536, 0.5000)  6 Ti 2.74-2.84, 1 Au 2.79
Au (0.1464, 0.6464, 0.5000)  6 Ti 2.74-2.84, 1 Au 2.79
Si (0.0000, 0.0000, 0.0000)  4 Ti 2.54
Si (0.5000, 0.5000, 0.0000)  4 Ti 2.54


(2)
# Ti2Si2Au

A geometry-optimized Ti2Si2Au structure (PBE-GGA, the Alexandria database).

Calculated values
ρ ... 7.6 g cm⁻³
N(E_F) ... 2.6 states/eV/f.u.
Raw formation energy ... -0.59 eV per atom
Symmetry ... P4/mbm (127)

Cell: 6.4789 6.4789 3.6536 Å, 90.00 90.00 90.00°
Closest atoms and distances in Å follow each position.
Sites, in units of the cell vectors:
Si (0.3740, 0.8740, 0.0000)  1 Si 2.31, 2 Au 2.56
Si (0.8740, 0.6260, 0.0000)  1 Si 2.31, 2 Au 2.56
Si (0.1260, 0.3740, 0.0000)  1 Si 2.31, 2 Au 2.56
Si (0.6260, 0.1260, 0.0000)  1 Si 2.31, 2 Au 2.56
Ti (0.8282, 0.3282, 0.5000)  6 Si 2.60-2.67
Ti (0.6718, 0.8282, 0.5000)  6 Si 2.60-2.67
Ti (0.1718, 0.6718, 0.5000)  6 Si 2.60-2.67
Ti (0.3282, 0.1718, 0.5000)  6 Si 2.60-2.67
Au (0.5000, 0.5000, 0.0000)  4 Si 2.56
Au (0.0000, 0.0000, 0.0000)  4 Si 2.56


(3)
# Ti2SiAu

A geometry-optimized Ti2SiAu structure (PBE-GGA, the Alexandria database).

Calculated values
ρ ... 7.7 g cm⁻³
N(E_F) ... 3.5 states/eV/f.u.
Raw formation energy ... -0.12 eV per atom
Symmetry ... I-42d (122)

Cell: 7.1721 7.1721 5.7346 Å, 51.29 51.29 90.00°
Closest atoms and distances in Å follow each position.
Sites, in units of the cell vectors:
Si (0.2500, 0.7500, 0.5000)  4 Ti 2.57, 2 Au 2.68
Si (0.5000, 0.5000, 0.0000)  4 Ti 2.57, 2 Au 2.68
Ti (0.8750, 0.8642, 0.7500)  2 Si 2.57, 2 Au 2.68, 2 Ti 2.68
Ti (0.1358, 0.6250, 0.2500)  2 Si 2.57, 2 Au 2.68, 2 Ti 2.68
Ti (0.3750, 0.3858, 0.7500)  2 Si 2.57, 2 Au 2.68, 2 Ti 2.68
Ti (0.6142, 0.1250, 0.2500)  2 Si 2.57, 2 Au 2.68, 2 Ti 2.68
Au (0.0000, 0.0000, 0.0000)  4 Ti 2.68, 2 Si 2.68
Au (0.7500, 0.2500, 0.5000)  4 Ti 2.68, 2 Si 2.68


(4)
# TiTlSi2Au

A geometry-optimized TiTlSi2Au structure (PBE-GGA, the Alexandria database).

Calculated values
ρ ... 6.7 g cm⁻³
N(E_F) ... 6.3 states/eV/f.u.
Raw formation energy ... 0.74 eV per atom
Symmetry ... P4/mmm (123)

Cell: 4.8100 5.4124 4.8100 Å, 90.00 90.00 90.00°
Closest atoms and distances in Å follow each position.
Sites, in units of the cell vectors:
Si (0.0000, 0.0000, 0.5000)  2 Ti 2.40
Si (0.5000, 0.0000, 0.0000)  2 Ti 2.40
Tl (0.0000, 0.5000, 0.0000)  2 Ti 2.71
Ti (0.0000, 0.0000, 0.0000)  4 Si 2.40
Au (0.5000, 0.5000, 0.5000)  4 Tl 3.40, 8 Si 3.62


(5)
# Tl3Si2Au9

A geometry-optimized Tl3Si2Au9 structure (PBE-GGA, the Alexandria database).

Calculated values
ρ ... 13.4 g cm⁻³
N(E_F) ... 3.7 states/eV/f.u.
Raw formation energy ... 0.00 eV per atom
Symmetry ... P-3m1 (164)

Cell: 6.6703 6.6703 7.8738 Å, 90.00 90.00 120.00°
Closest atoms and distances in Å follow each position.
Sites, in units of the cell vectors:
Au (0.7101, 0.8551, 0.6533)  1 Si 2.43
Au (0.2899, 0.1449, 0.3467)  1 Si 2.43
Au (0.8551, 0.1449, 0.3467)  1 Si 2.43
Au (0.8551, 0.7101, 0.3467)  1 Si 2.43
Au (0.5000, 0.0000, 0.0000)  2 Si 2.53
Au (0.1449, 0.8551, 0.6533)  1 Si 2.43
Au (0.5000, 0.5000, 0.0000)  2 Si 2.53
Au (0.0000, 0.5000, 0.0000)  2 Si 2.53
Au (0.1449, 0.2899, 0.6533)  1 Si 2.43
Si (0.3333, 0.6667, 0.7912)  6 Au 2.43-2.53
Si (0.6667, 0.3333, 0.2088)  6 Au 2.43-2.53
Tl (0.3333, 0.6667, 0.3361)  12 Au 3.27-3.35, 1 Si 3.58
Tl (0.6667, 0.3333, 0.6639)  12 Au 3.27-3.35, 1 Si 3.58
Tl (0.0000, 0.0000, 0.0000)  12 Au 3.20-3.34


(6)
# Tl5SiAu5

A geometry-optimized Tl5SiAu5 structure (PBE-GGA, the Alexandria database).

Calculated values
ρ ... 12.4 g cm⁻³
N(E_F) ... 4.3 states/eV/f.u.
Raw formation energy ... 0.06 eV per atom
Symmetry ... P-1 (2)

Cell: 5.1150 7.2848 8.5359 Å, 115.31 107.18 89.99°
Closest atoms and distances in Å follow each position.
Sites, in units of the cell vectors:
Au (0.1441, 0.9368, 0.2853)  1 Si 2.57
Au (0.1441, 0.3487, 0.2854)  1 Si 2.57
Au (0.8559, 0.0632, 0.7147)  1 Si 2.57
Au (0.8559, 0.6513, 0.7146)  1 Si 2.57
Au (0.5000, 0.0000, 0.0000)  2 Si 2.56
Si (0.0000, 0.0000, 0.0000)  6 Au 2.56-2.57
Tl (0.7074, 0.2059, 0.4128)  7 Au 3.01-3.11, 2 Tl 3.36-3.37
Tl (0.2926, 0.7941, 0.5872)  7 Au 3.01-3.11, 2 Tl 3.36-3.37
Tl (0.0000, 0.5000, 0.0000)  4 Au 2.99, 4 Tl 3.30-3.32
Tl (0.3557, 0.3566, 0.7119)  4 Tl 3.30-3.37, 6 Au 3.33-3.46
Tl (0.6443, 0.6434, 0.2881)  4 Tl 3.30-3.37, 6 Au 3.33-3.46


(7)
# Tl3SiAu3

A geometry-optimized Tl3SiAu3 structure (PBE-GGA, the Alexandria database).

Calculated values
ρ ... 11.4 g cm⁻³
N(E_F) ... 2.4 states/eV/f.u.
Raw formation energy ... 0.00 eV per atom
Symmetry ... C2/m (12)

Cell: 6.8625 8.3183 8.1488 Å, 120.69 103.13 63.58°
Closest atoms and distances in Å follow each position.
Sites, in units of the cell vectors:
Au (0.7149, 0.1835, 0.7093)  1 Si 2.42
Au (0.2842, 0.0290, 0.0000)  2 Si 2.42-2.49
Au (0.2851, 0.8165, 0.2907)  1 Si 2.42
Au (0.7158, 0.9710, 0.0000)  2 Si 2.42-2.49
Au (0.2851, 0.5259, 0.7093)  1 Si 2.42
Au (0.7149, 0.4741, 0.2907)  1 Si 2.42
Tl (0.2973, 0.3853, 0.0000)  4 Au 3.01-3.36, 1 Si 3.28
Tl (0.7027, 0.6147, 0.0000)  4 Au 3.01-3.36, 1 Si 3.28
Tl (0.0000, 0.7388, 0.4775)  4 Au 3.03-3.17
Tl (0.0000, 0.2612, 0.5225)  4 Au 3.03-3.17
Tl (0.5000, 0.8170, 0.6339)  4 Au 2.85-2.92
Tl (0.5000, 0.1830, 0.3661)  4 Au 2.85-2.92
Si (0.8901, 0.1767, 0.0000)  4 Au 2.42-2.49, 1 Si 2.64
Si (0.1099, 0.8233, 0.0000)  4 Au 2.42-2.49, 1 Si 2.64


(8)
# Tl3SiAu8

A geometry-optimized Tl3SiAu8 structure (PBE-GGA, the Alexandria database).

Calculated values
ρ ... 14.6 g cm⁻³
N(E_F) ... 5.1 states/eV/f.u.
Raw formation energy ... 0.06 eV per atom
Symmetry ... P6_3mc (186)

Cell: 5.6352 10.1558 10.1558 Å, 120.00 90.00 90.00°
Closest atoms and distances in Å follow each position.
Sites, in units of the cell vectors:
Si (0.5482, 0.6667, 0.3333)  4 Au 2.41-2.52
Si (0.0482, 0.3333, 0.6667)  4 Au 2.41-2.52
Au (0.1207, 0.6667, 0.3333)  1 Si 2.41
Au (0.9864, 0.0252, 0.5126)  1 Si 2.73, 6 Au 2.85-3.02
Au (0.9864, 0.4874, 0.9748)  1 Si 2.73, 6 Au 2.85-3.02
Au (0.7798, 0.7892, 0.2108)  1 Si 2.52
Au (0.4864, 0.9748, 0.4874)  1 Si 2.73, 6 Au 2.85-3.02
Au (0.4864, 0.5126, 0.4874)  1 Si 2.73, 6 Au 2.85-3.02
Au (0.2798, 0.2108, 0.4216)  1 Si 2.52
Au (0.2798, 0.2108, 0.7892)  1 Si 2.52
Au (0.4864, 0.5126, 0.0252)  1 Si 2.73, 6 Au 2.85-3.02
Au (0.7798, 0.7892, 0.5784)  1 Si 2.52
Au (0.5045, 0.0000, 0.0000)  2 Au 2.82, 6 Tl 2.97-3.04
Au (0.7798, 0.4216, 0.2108)  1 Si 2.52
Au (0.6207, 0.3333, 0.6667)  1 Si 2.41
Au (0.2798, 0.5784, 0.7892)  1 Si 2.52
Au (0.9864, 0.4874, 0.5126)  1 Si 2.73, 6 Au 2.85-3.02
Au (0.0045, 0.0000, 0.0000)  2 Au 2.82, 6 Tl 2.97-3.04
Tl (0.2670, 0.8490, 0.6979)  6 Au 2.94-3.23
Tl (0.7670, 0.6979, 0.8490)  6 Au 2.94-3.23
Tl (0.2670, 0.3021, 0.1510)  6 Au 2.94-3.23
Tl (0.2670, 0.8490, 0.1510)  6 Au 2.94-3.23
Tl (0.7670, 0.1510, 0.8490)  6 Au 2.94-3.23
Tl (0.7670, 0.1510, 0.3021)  6 Au 2.94-3.23


(9)
# TlSi3Au

A geometry-optimized TlSi3Au structure (PBE-GGA, the Alexandria database).

Calculated values
ρ ... 6.6 g cm⁻³
N(E_F) ... 2.0 states/eV/f.u.
Raw formation energy ... 0.84 eV per atom
E above lowest polymorph ... 0.0 kJ per mole of atoms
Symmetry ... Pm-3m (221)

Cell: 4.9540 4.9540 4.9540 Å, 90.00 90.00 90.00°
Closest atoms and distances in Å follow each position.
Sites, in units of the cell vectors:
Si (0.0000, 0.0000, 0.5000)  2 Au 2.48
Si (0.5000, 0.0000, 0.0000)  2 Au 2.48
Si (0.0000, 0.5000, 0.0000)  2 Au 2.48
Au (0.0000, 0.0000, 0.0000)  6 Si 2.48
Tl (0.5000, 0.5000, 0.5000)  12 Si 3.50


(10)
# Tl5SiAu4

A geometry-optimized Tl5SiAu4 structure (PBE-GGA, the Alexandria database).

Calculated values
ρ ... 11.8 g cm⁻³
N(E_F) ... 3.1 states/eV/f.u.
Raw formation energy ... 0.00 eV per atom
Symmetry ... C2/m (12)

Cell: 3.7029 8.2580 9.2623 Å, 110.99 101.53 90.00°
Closest atoms and distances in Å follow each position.
Sites, in units of the cell vectors:
Au (0.9887, 0.2009, 0.9773)  2 Si 2.54
Au (0.6453, 0.0415, 0.2906)  1 Si 2.53
Au (0.0113, 0.7991, 0.0227)  2 Si 2.54
Au (0.3547, 0.9585, 0.7094)  1 Si 2.53
Si (0.5000, 0.0000, 0.0000)  6 Au 2.53-2.54
Tl (0.8190, 0.2196, 0.6380)  4 Au 2.95-3.14
Tl (0.5000, 0.5000, 0.0000)  4 Au 3.03
Tl (0.8336, 0.6515, 0.6672)  3 Au 3.00-3.05
Tl (0.1810, 0.7804, 0.3620)  4 Au 2.95-3.14
Tl (0.1664, 0.3485, 0.3328)  3 Au 3.00-3.05


What is the formula in the fourth record? TiTlSi2Au